# 1
An optimized crystal structure of PaCoO4, computed with PBE+U.

Cell lengths 5.359, 5.359, 5.018 Å; angles 90.00, 90.00, 90.00 degrees
Space group P4/nbm (No. 125, origin choice 2)
Inequivalent atoms, fractional coordinates:
1 Pa 0.250 0.250 0.000 x2
2 Co 0.250 0.750 0.500 x2
3 O 0.066 0.566 0.241 x8

* total moment: 4.0 μB/f.u.
* E: -97.89 eV for the cell shown

# 2
An optimized crystal structure of PaCo3O8, computed with PBE+U.

Cell lengths 11.594, 3.886, 6.168 Å; angles 90.00, 93.13, 90.00 degrees
Space group Cm (No. 8)
Inequivalent atoms, fractional coordinates:
1 Pa 0.000 0.000 0.000 x2
2 Co 0.028 0.500 0.470 x2
3 Co 0.212 0.500 0.857 x2
4 Co 0.338 0.500 0.436 x2
5 O 0.003 0.000 0.420 x2
6 O 0.032 0.500 0.782 x2
7 O 0.042 0.500 0.174 x2
8 O 0.174 0.000 0.923 x2
9 O 0.184 0.500 0.520 x2
10 O 0.326 0.500 0.134 x2
11 O 0.358 0.500 0.739 x2
12 O 0.371 0.000 0.446 x2

* total moment: 7.4 μB/f.u.
* E: -163.45 eV for the cell shown

# 3
An optimized crystal structure of PaCoPb2O6, computed with PBE+U.

Cell lengths 5.8463, 5.8463, 13.9147 Å; angles 90.00, 90.00, 120.00 degrees
Space group R-3 (No. 148, hexagonal axes)
Inequivalent atoms, fractional coordinates:
1 Pa 0.0000 0.0000 0.0000 x3
2 Co 0.0000 0.0000 0.5000 x3
3 Pb 0.0000 0.0000 0.2610 x6
4 O 0.0245 0.5545 0.2485 x18

* total moment: 0.0 μB/f.u.
* E: -211.22 eV for the cell shown

# 4
An optimized crystal structure of PaCo2PbO8, computed with PBE+U.

Cell lengths 7.065, 7.065, 6.569 Å; angles 90.00, 90.00, 90.00 degrees
Space group I-4m2 (No. 119)
Inequivalent atoms, fractional coordinates:
1 Pa 0.000 0.000 0.000 x2
2 Co 0.000 0.000 0.500 x2
3 Co 0.000 0.500 0.750 x2
4 Pb 0.000 0.500 0.250 x2
5 O 0.000 0.182 0.312 x8
6 O 0.000 0.307 0.936 x8

* total moment: 9.0 μB/f.u.
* E: -162.32 eV for the cell shown

> What is the formula in the first record?

PaCoO4

> Which formula does entry 3 have?

PaCoPb2O6

> Number 3 is which compound?

PaCoPb2O6

> Look up the total moment of the first one.

4.0 μB/f.u.